A plane-wave DFT calculation with PBE was carried out for Li13Rh3 after structural relaxation.

Unit cell a=6.3551 b=6.3551 c=6.2915 alpha=90.00 beta=90.00 gamma=90.94
Closest atoms and distances in Å follow each position.
Fractional coordinates of all 16 atoms:
Li  0.5351  0.0062  0.2380  2 Rh 2.56-2.82, 5 Li 2.63-2.86
Li  0.4988  0.5012  0.2554  1 Rh 2.59, 3 Li 2.78-2.90
Li  0.9938  0.4649  0.2380  2 Rh 2.56-2.82, 5 Li 2.63-2.86
Li  0.7756  0.7317  0.0000  3 Rh 2.60-2.90, 7 Li 2.67-2.86
Li  0.2683  0.2244  0.0000  3 Rh 2.60-2.90, 7 Li 2.67-2.86
Li  0.2237  0.7763  0.0000  2 Rh 2.60, 6 Li 2.86
Li  0.5351  0.0062  0.7620  2 Rh 2.56-2.82, 5 Li 2.63-2.86
Li  0.4988  0.5012  0.7446  1 Rh 2.59, 3 Li 2.78-2.90
Li  0.9938  0.4649  0.7620  2 Rh 2.56-2.82, 5 Li 2.63-2.86
Li  0.7699  0.2301  0.5000  2 Rh 2.61, 8 Li 2.63-2.90
Li  0.8009  0.7827  0.5000  6 Li 2.60-2.89, 2 Rh 2.60
Li  0.2173  0.1991  0.5000  6 Li 2.60-2.89, 2 Rh 2.60
Li  0.2096  0.7904  0.5000  2 Li 2.60, 2 Rh 2.77
Rh  0.9781  0.0219  0.2131  9 Li 2.60-2.82, 2 Rh 2.67-2.68
Rh  0.7230  0.2770  0.0000  6 Li 2.56-2.59, 2 Rh 2.67
Rh  0.9781  0.0219  0.7869  9 Li 2.60-2.82, 2 Rh 2.67-2.68

DFT formation energy: -82 kJ/mol of formula units